Record 1
## LiPdPt6 (PBE-GGA)

Data for a geometry-optimized LiPdPt6 structure.

Total magnetic moment: 0.00 μB per atom
VASP energy: -45.4 eV per formula unit

a b c (Å): 5.5533 5.5533 5.5533
angles (deg): 60.00 60.00 60.00
Last column: nearest neighbours and their distance in Å.
Fractional coordinates of all 8 atoms:
1 Pt 0.0000 0.5000 0.5000  2 Li 2.78, 8 Pt 2.78, 2 Pd 2.78
2 Pd 0.0000 0.0000 0.0000  12 Pt 2.78
3 Pt 0.5000 0.0000 0.0000  2 Pd 2.78, 8 Pt 2.78, 2 Li 2.78
4 Pt 0.5000 0.0000 0.5000  2 Li 2.78, 8 Pt 2.78, 2 Pd 2.78
5 Pt 0.5000 0.5000 0.0000  2 Li 2.78, 8 Pt 2.78, 2 Pd 2.78
6 Pt 0.0000 0.5000 0.0000  2 Pd 2.78, 8 Pt 2.78, 2 Li 2.78
7 Li 0.5000 0.5000 0.5000  12 Pt 2.78
8 Pt 0.0000 0.0000 0.5000  2 Pd 2.78, 8 Pt 2.78, 2 Li 2.78



Record 2
## Tm3Bi2Se (PBE-GGA)

Data for a geometry-optimized Tm3Bi2Se structure.

Total magnetic moment: 0.00 μB per atom
VASP energy: -31.4 eV per formula unit

a b c (Å): 4.2986 4.2986 10.4644
angles (deg): 90.00 90.00 120.00
Last column: nearest neighbours and their distance in Å.
Fractional coordinates of all 6 atoms:
1 Tm 0.6667 0.3333 0.1477  3 Se 2.92, 3 Bi 3.09
2 Tm 0.3333 0.6667 0.8523  3 Se 2.92, 3 Bi 3.09
3 Tm 0.0000 0.0000 0.5000  6 Bi 3.09
4 Bi 0.6667 0.3333 0.6762  6 Tm 3.09
5 Se 0.0000 0.0000 0.0000  6 Tm 2.92
6 Bi 0.3333 0.6667 0.3238  6 Tm 3.09



Record 3
## TmSbN2O (PBE-GGA)

Data for a geometry-optimized TmSbN2O structure.

Total magnetic moment: 0.00 μB per atom
VASP energy: -34.5 eV per formula unit

a b c (Å): 3.6433 3.6821 5.0985
angles (deg): 90.00 90.27 90.00
Last column: nearest neighbours and their distance in Å.
Fractional coordinates of all 5 atoms:
1 N 0.5079 0.5000 0.9604  1 Sb 1.97
2 Sb 0.5001 0.5000 0.5744  3 N 1.97-2.02, 2 O 2.05
3 Tm 0.9958 0.0000 0.1252  2 O 2.28-2.29, 2 N 2.33
4 N 0.9991 0.5000 0.4051  2 Sb 2.02
5 O 0.4983 0.0000 0.3954  2 Sb 2.05, 2 Tm 2.28-2.29



Record 4
## HfReSi2 (PBE-GGA)

Data for a geometry-optimized HfReSi2 structure.

Total magnetic moment: 0.00 μB per atom
VASP energy: -33.1 eV per formula unit

a b c (Å): 4.4515 4.4515 4.4515
angles (deg): 60.00 60.00 60.00
Last column: nearest neighbours and their distance in Å.
Fractional coordinates of all 4 atoms:
1 Si 0.2500 0.2500 0.2500  4 Hf 2.73, 4 Si 2.73
2 Si 0.0000 0.0000 0.0000  4 Re 2.73, 4 Si 2.73
3 Re 0.7500 0.7500 0.7500  4 Si 2.73, 4 Hf 2.73
4 Hf 0.5000 0.5000 0.5000  4 Si 2.73, 4 Re 2.73



Record 5
## BaYAgSe2S (PBE-GGA)

Data for a geometry-optimized BaYAgSe2S structure.

Total magnetic moment: 0.00 μB per atom
VASP energy: -31.9 eV per formula unit

a b c (Å): 7.3889 7.3889 10.5516
angles (deg): 90.00 90.00 146.56
Last column: nearest neighbours and their distance in Å.
Fractional coordinates of all 12 atoms:
1 Se 0.8615 0.1385 0.9518  1 Ag 2.63, 2 Y 2.94
2 Y 0.5000 0.5000 0.5000  2 S 2.83, 4 Se 2.94
3 S 0.5728 0.4272 0.7500  2 Ag 2.57, 2 Y 2.83
4 Ba 0.7589 0.2411 0.2500  2 S 3.19, 6 Se 3.46-3.47
5 Y 0.5000 0.5000 0.0000  2 S 2.83, 4 Se 2.94
6 Ag 0.9705 0.0295 0.7500  2 S 2.57, 2 Se 2.63
7 Se 0.1385 0.8615 0.0482  1 Ag 2.63, 2 Y 2.94
8 Ba 0.2411 0.7589 0.7500  2 S 3.19, 6 Se 3.46-3.47
9 S 0.4272 0.5728 0.2500  2 Ag 2.57, 2 Y 2.83
10 Se 0.8615 0.1385 0.5482  1 Ag 2.63, 2 Y 2.94
11 Ag 0.0295 0.9705 0.2500  2 S 2.57, 2 Se 2.63
12 Se 0.1385 0.8615 0.4518  1 Ag 2.63, 2 Y 2.94



Record 6
## PmInNO (PBE-GGA)

Data for a geometry-optimized PmInNO structure.

Total magnetic moment: 0.00 μB per atom
VASP energy: -25.7 eV per formula unit
Polymorph energy (0 for the lowest one): 6 meV per atom

a b c (Å): 5.0723 5.0723 4.7852
angles (deg): 90.00 90.00 90.00
Last column: nearest neighbours and their distance in Å.
Fractional coordinates of all 8 atoms:
1 In 0.7500 0.7500 0.9921  2 N 2.34-2.45, 4 O 2.54
2 N 0.7500 0.7500 0.4807  2 In 2.34-2.45, 4 Pm 2.54
3 Pm 0.7500 0.2500 0.5000  2 O 2.39, 4 N 2.54
4 O 0.7500 0.2500 0.0000  2 Pm 2.39, 4 In 2.54
5 Pm 0.2500 0.7500 0.5000  2 O 2.39, 4 N 2.54
6 O 0.2500 0.7500 0.0000  2 Pm 2.39, 4 In 2.54
7 In 0.2500 0.2500 0.0079  2 N 2.34-2.45, 4 O 2.54
8 N 0.2500 0.2500 0.5193  2 In 2.34-2.45, 4 Pm 2.54



Record 7
## YHo2Ga5 (PBE-GGA)

Data for a geometry-optimized YHo2Ga5 structure.

Total magnetic moment: 0.00 μB per atom
VASP energy: -34.8 eV per formula unit

a b c (Å): 4.7955 6.0879 6.0879
angles (deg): 75.20 90.00 90.00
Last column: nearest neighbours and their distance in Å.
Fractional coordinates of all 8 atoms:
1 Y 0.0000 0.9045 0.9045  10 Ga 2.91-3.23
2 Ho 0.5000 0.6337 0.6337  8 Ga 2.92-3.07
3 Ga 0.5000 0.6288 0.1386  4 Ga 2.98-3.30, 4 Ho 3.02-3.07, 2 Y 3.06
4 Ga 0.5000 0.1386 0.6288  4 Ga 2.98-3.30, 4 Ho 3.02-3.07, 2 Y 3.06
5 Ga 0.0000 0.3945 0.8410  2 Y 2.91-3.23, 4 Ho 2.92-3.18, 2 Ga 3.16
6 Ga 0.5000 0.1220 0.1220  8 Ga 2.98-3.16, 2 Ho 3.17, 2 Y 3.19
7 Ga 0.0000 0.8410 0.3945  2 Y 2.91-3.23, 4 Ho 2.92-3.18, 2 Ga 3.16
8 Ho 0.0000 0.3369 0.3369  10 Ga 2.95-3.18



Record 8
## K2ZrNbO6 (PBE-GGA)

Data for a geometry-optimized K2ZrNbO6 structure.

Total magnetic moment: 0.00 μB per atom
VASP energy: -74.8 eV per formula unit

a b c (Å): 5.8062 5.8062 5.8062
angles (deg): 60.00 60.00 60.00
Last column: nearest neighbours and their distance in Å.
Fractional coordinates of all 10 atoms:
1 O 0.2442 0.2442 0.7558  1 Nb 2.01, 1 Zr 2.10
2 O 0.2442 0.7558 0.2442  1 Nb 2.01, 1 Zr 2.10
3 K 0.2500 0.2500 0.2500  12 O 2.90
4 O 0.2442 0.7558 0.7558  1 Nb 2.00, 1 Zr 2.10
5 O 0.7558 0.2442 0.2442  1 Nb 2.01, 1 Zr 2.10
6 O 0.7558 0.7558 0.2442  1 Nb 2.00, 1 Zr 2.10
7 Nb 0.0000 0.0000 0.0000  6 O 2.00-2.01
8 K 0.7500 0.7500 0.7500  12 O 2.90
9 Zr 0.5000 0.5000 0.5000  6 O 2.10
10 O 0.7558 0.2442 0.7558  1 Nb 2.00, 1 Zr 2.10



Record 9
## ScNbFe (PBE-GGA)

Data for a geometry-optimized ScNbFe structure.

Total magnetic moment: 0.14 μB per atom
VASP energy: -22.4 eV per formula unit
Polymorph energy (0 for the lowest one): 0 meV per atom

a b c (Å): 4.2652 4.2652 4.2652
angles (deg): 60.00 60.00 60.00
Last column: nearest neighbours and their distance in Å.
Fractional coordinates of all 3 atoms:
1 Fe 0.2500 0.2500 0.2500  4 Nb 2.61
2 Sc 0.7500 0.7500 0.7500  4 Nb 2.61
3 Nb 0.0000 0.0000 0.0000  4 Fe 2.61, 4 Sc 2.61



Record 10
## DyTlRe (PBE-GGA)

Data for a geometry-optimized DyTlRe structure.

Total magnetic moment: 0.17 μB per atom
VASP energy: -16.6 eV per formula unit
Polymorph energy (0 for the lowest one): 0 meV per atom

a b c (Å): 4.7232 4.7232 4.7232
angles (deg): 60.00 60.00 60.00
Last column: nearest neighbours and their distance in Å.
Fractional coordinates of all 3 atoms:
1 Tl 0.0000 0.0000 0.0000  4 Re 2.89, 4 Dy 2.89
2 Re 0.7500 0.7500 0.7500  4 Tl 2.89
3 Dy 0.2500 0.2500 0.2500  4 Tl 2.89



Record 11
## Dy2Sc2CI2Br3 (PBE-GGA)

Data for a geometry-optimized Dy2Sc2CI2Br3 structure.

Total magnetic moment: 0.00 μB per atom
VASP energy: -51.5 eV per formula unit
Polymorph energy (0 for the lowest one): 49 meV per atom

a b c (Å): 9.2898 9.2898 7.9865
angles (deg): 101.30 101.30 23.47
Last column: nearest neighbours and their distance in Å.
Fractional coordinates of all 10 atoms:
1 Br 0.5000 0.5000 0.5000  4 Sc 3.13
2 Br 0.1506 0.1506 0.3377  1 Sc 2.78, 2 Dy 2.83
3 Dy 0.3677 0.3677 0.9309  1 C 2.36
4 C 0.5000 0.5000 0.0000  2 Dy 2.36, 4 Sc 2.41
5 Sc 0.9987 0.9987 0.1876  2 C 2.41
6 Br 0.8494 0.8494 0.6623  1 Sc 2.78, 2 Dy 2.83
7 I 0.8316 0.8316 0.2004  2 Dy 3.03, 1 Sc 3.06
8 Sc 0.0013 0.0013 0.8124  2 C 2.41
9 Dy 0.6323 0.6323 0.0691  1 C 2.36
10 I 0.1684 0.1684 0.7996  2 Dy 3.03, 1 Sc 3.06



Record 12
## CsLiMoS3 (PBE-GGA)

Data for a geometry-optimized CsLiMoS3 structure.

Total magnetic moment: 0.31 μB per atom
VASP energy: -30.9 eV per formula unit

a b c (Å): 7.8192 7.8192 9.5403
angles (deg): 90.00 90.00 151.81
Last column: nearest neighbours and their distance in Å.
Fractional coordinates of all 12 atoms:
1 Cs 0.7546 0.2454 0.2500  8 S 3.48-3.59, 2 Cs 3.81, 2 Li 3.89
2 Li 0.9690 0.0310 0.7500  4 S 2.29-2.30
3 S 0.1042 0.8958 0.4606  1 Li 2.30, 2 Mo 2.50
4 Mo 0.5000 0.5000 0.5000  6 S 2.50-2.52
5 Mo 0.5000 0.5000 0.0000  6 S 2.50-2.52
6 Cs 0.2454 0.7546 0.7500  8 S 3.48-3.59, 2 Cs 3.81, 2 Li 3.89
7 S 0.8958 0.1042 0.5394  1 Li 2.30, 2 Mo 2.50
8 S 0.1042 0.8958 0.0394  1 Li 2.30, 2 Mo 2.50
9 Li 0.0310 0.9690 0.2500  4 S 2.29-2.30
10 S 0.5532 0.4468 0.7500  2 Li 2.29, 2 Mo 2.52
11 S 0.8958 0.1042 0.9606  1 Li 2.30, 2 Mo 2.50
12 S 0.4468 0.5532 0.2500  2 Li 2.29, 2 Mo 2.52



Record 13
## TmCo3 (PBE-GGA)

Data for a geometry-optimized TmCo3 structure.

Total magnetic moment: 0.95 μB per atom
VASP energy: -25.3 eV per formula unit

a b c (Å): 4.6967 4.6967 4.6967
angles (deg): 132.17 132.17 69.96
Last column: nearest neighbours and their distance in Å.
Fractional coordinates of all 4 atoms:
1 Co 0.5000 0.5000 0.0000  4 Tm 2.69, 8 Co 2.71
2 Co 0.2500 0.7500 0.5000  8 Co 2.69-2.71, 4 Tm 2.71
3 Tm 0.0000 0.0000 0.0000  12 Co 2.69-2.71
4 Co 0.7500 0.2500 0.5000  8 Co 2.69-2.71, 4 Tm 2.71



Record 14
## HfNiBPt (PBE-GGA)

Data for a geometry-optimized HfNiBPt structure.

Total magnetic moment: 0.00 μB per atom
VASP energy: -28.4 eV per formula unit
Polymorph energy (0 for the lowest one): 188 meV per atom

a b c (Å): 4.2680 4.2680 4.2680
angles (deg): 60.00 60.00 60.00
Last column: nearest neighbours and their distance in Å.
Fractional coordinates of all 4 atoms:
1 Hf 0.5000 0.5000 0.5000  4 Pt 2.61, 4 Ni 2.61
2 B 0.0000 0.0000 0.0000  4 Ni 2.61, 4 Pt 2.61
3 Pt 0.2500 0.2500 0.2500  4 Hf 2.61, 4 B 2.61
4 Ni 0.7500 0.7500 0.7500  4 Hf 2.61, 4 B 2.61



Record 15
## GdSnTe (PBE-GGA)

Data for a geometry-optimized GdSnTe structure.

Total magnetic moment: 0.00 μB per atom
VASP energy: -12.9 eV per formula unit

a b c (Å): 5.1656 5.1656 5.1656
angles (deg): 60.00 60.00 60.00
Last column: nearest neighbours and their distance in Å.
Fractional coordinates of all 3 atoms:
1 Sn 0.7500 0.7500 0.7500  4 Te 3.16
2 Gd 0.2500 0.2500 0.2500  4 Te 3.16
3 Te 0.0000 0.0000 0.0000  4 Gd 3.16, 4 Sn 3.16



Record 16
## Nd3YHo2CoTe2 (PBE-GGA)

Data for a geometry-optimized Nd3YHo2CoTe2 structure.

Total magnetic moment: 0.00 μB per atom
VASP energy: -49.7 eV per formula unit

a b c (Å): 4.0487 8.4437 8.4437
angles (deg): 119.91 90.00 90.00
Last column: nearest neighbours and their distance in Å.
Fractional coordinates of all 9 atoms:
1 Y 0.5000 0.7656 0.7656  2 Co 2.86
2 Te 0.5000 0.3334 0.6667  6 Nd 3.27-3.28, 1 Y 3.31, 2 Ho 3.33-3.34
3 Te 0.5000 0.6667 0.3334  6 Nd 3.27-3.28, 1 Y 3.31, 2 Ho 3.33-3.34
4 Nd 0.0000 0.5963 0.0010  4 Te 3.27-3.28, 1 Co 3.43, 2 Ho 3.59, 2 Y 3.60
5 Ho 0.5000 0.2307 0.0003  2 Co 2.80
6 Nd 0.0000 0.0010 0.5963  4 Te 3.27-3.28, 1 Co 3.43, 2 Ho 3.59, 2 Y 3.60
7 Ho 0.5000 0.0003 0.2307  2 Co 2.80
8 Nd 0.0000 0.4019 0.4019  4 Te 3.27, 1 Co 3.36, 4 Ho 3.58
9 Co 0.0000 0.0041 0.0041  4 Ho 2.80, 2 Y 2.86



Record 17
## LaTmMg6 (PBE-GGA)

Data for a geometry-optimized LaTmMg6 structure.

Total magnetic moment: 0.00 μB per atom
VASP energy: -19.3 eV per formula unit

a b c (Å): 5.2148 5.2148 7.4377
angles (deg): 90.00 90.00 90.00
Last column: nearest neighbours and their distance in Å.
Fractional coordinates of all 8 atoms:
1 Mg 0.5000 0.0000 0.2405  4 Mg 3.16-3.24, 2 Tm 3.16, 2 La 3.24
2 Mg 0.0000 0.0000 0.5000  8 Mg 3.24
3 Mg 0.0000 0.5000 0.2405  4 Mg 3.16-3.24, 2 Tm 3.16, 2 La 3.24
4 La 0.5000 0.5000 0.5000  8 Mg 3.24
5 Mg 0.5000 0.0000 0.7594  4 Mg 3.16-3.24, 2 Tm 3.16, 2 La 3.24
6 Tm 0.0000 0.0000 0.0000  8 Mg 3.16
7 Mg 0.0000 0.5000 0.7594  4 Mg 3.16-3.24, 2 Tm 3.16, 2 La 3.24
8 Mg 0.5000 0.5000 0.0000  8 Mg 3.16



Record 18
## YHo2Ag4Sn4 (PBE-GGA)

Data for a geometry-optimized YHo2Ag4Sn4 structure.

Total magnetic moment: 0.00 μB per atom
VASP energy: -48.2 eV per formula unit

a b c (Å): 8.7581 8.7581 8.7581
angles (deg): 149.89 130.43 59.10
Last column: nearest neighbours and their distance in Å.
Fractional coordinates of all 11 atoms:
1 Sn 0.1963 0.0000 0.1963  2 Ag 2.72, 1 Sn 2.88
2 Ag 0.5275 0.8285 0.6990  4 Sn 2.72-2.81, 1 Ag 2.92
3 Ag 0.8705 0.1715 0.6990  4 Sn 2.72-2.81, 1 Ag 2.92
4 Ag 0.1295 0.8285 0.3010  4 Sn 2.72-2.81, 1 Ag 2.92
5 Sn 0.7147 0.7147 0.0000  6 Ag 2.78-2.81
6 Sn 0.2853 0.2853 0.0000  6 Ag 2.78-2.81
7 Ho 0.1271 0.6271 0.5000  6 Ag 3.24-3.40, 6 Sn 3.32
8 Ho 0.8729 0.3729 0.5000  6 Ag 3.24-3.40, 6 Sn 3.32
9 Ag 0.4725 0.1715 0.3010  4 Sn 2.72-2.81, 1 Ag 2.92
10 Sn 0.8037 0.0000 0.8037  2 Ag 2.72, 1 Sn 2.88
11 Y 0.5000 0.5000 0.0000  6 Sn 3.19-3.27



Record 19
## BaFeOs (PBE-GGA)

Data for a geometry-optimized BaFeOs structure.

Total magnetic moment: 1.33 μB per atom
VASP energy: -17.5 eV per formula unit
Polymorph energy (0 for the lowest one): 0 meV per atom

a b c (Å): 4.7009 4.7009 4.7009
angles (deg): 60.00 60.00 60.00
Last column: nearest neighbours and their distance in Å.
Fractional coordinates of all 3 atoms:
1 Ba 0.2500 0.2500 0.2500  4 Os 2.88
2 Os 0.0000 0.0000 0.0000  4 Fe 2.88, 4 Ba 2.88
3 Fe 0.7500 0.7500 0.7500  4 Os 2.88



Record 20
## ScAlNiOs (PBE-GGA)

Data for a geometry-optimized ScAlNiOs structure.

Total magnetic moment: 0.01 μB per atom
VASP energy: -27.0 eV per formula unit

a b c (Å): 4.4036 4.4036 4.4036
angles (deg): 60.00 60.00 60.00
Last column: nearest neighbours and their distance in Å.
Fractional coordinates of all 4 atoms:
1 Al 0.0000 0.0000 0.0000  4 Ni 2.70, 4 Sc 2.70
2 Sc 0.2500 0.2500 0.2500  4 Os 2.70, 4 Al 2.70
3 Ni 0.7500 0.7500 0.7500  4 Os 2.70, 4 Al 2.70
4 Os 0.5000 0.5000 0.5000  4 Sc 2.70, 4 Ni 2.70